*i*
Compound: Tc2TeH
Source: the Alexandria database
Functional: GGA-PBE
Structure: optimized geometry

Summary:
- M_tot: 0.0 μB per formula unit

Cell and atoms, written as CIF:
```
data_Tc2TeH
_cell_length_a 6.2748
_cell_length_b 6.2748
_cell_length_c 6.2748
_cell_angle_alpha 134.81
_cell_angle_beta 134.81
_cell_angle_gamma 65.82
_space_group_name_H-M_alt 'P 1'
_space_group_IT_number 1
loop_
_space_group_symop_operation_xyz
'x,y,z'
loop_
_atom_site_label
_atom_site_fract_x
_atom_site_fract_y
_atom_site_fract_z
_atom_site_occupancy
Tc1 0.3750 0.2137 0.3387 1
Tc2 0.7863 0.1250 0.1613 1
Tc3 0.8750 0.0363 0.6613 1
Tc4 0.9637 0.6250 0.8387 1
Te1 0.2500 0.7500 0.5000 1
Te2 0.5000 0.5000 0.0000 1
H1 0.0000 0.0000 0.0000 1
H2 0.7500 0.2500 0.5000 1
```


*ii*
Compound: Tc2TeH
Source: the Alexandria database
Functional: GGA-PBE
Structure: optimized geometry

Summary:
- M_tot: 0.6 μB per formula unit

Cell and atoms, written as CIF:
```
data_Tc2TeH
_cell_length_a 4.3275
_cell_length_b 4.3275
_cell_length_c 4.3275
_cell_angle_alpha 60.00
_cell_angle_beta 60.00
_cell_angle_gamma 60.00
_space_group_name_H-M_alt 'P 1'
_space_group_IT_number 1
loop_
_space_group_symop_operation_xyz
'x,y,z'
loop_
_atom_site_label
_atom_site_fract_x
_atom_site_fract_y
_atom_site_fract_z
_atom_site_occupancy
Tc1 0.2500 0.2500 0.2500 1
Tc2 0.7500 0.7500 0.7500 1
Te1 0.0000 0.0000 0.0000 1
H1 0.5000 0.5000 0.5000 1
```


Stability, lowest: *ii*


*i*
Compound: TcTeH2
Source: the Alexandria database
Functional: GGA-PBE
Structure: optimized geometry

Summary:
- M_tot: 0.0 μB per formula unit

Cell and atoms, written as CIF:
```
data_TcTeH2
_cell_length_a 4.0043
_cell_length_b 4.0043
_cell_length_c 4.0043
_cell_angle_alpha 60.00
_cell_angle_beta 60.00
_cell_angle_gamma 60.00
_space_group_name_H-M_alt 'P 1'
_space_group_IT_number 1
loop_
_space_group_symop_operation_xyz
'x,y,z'
loop_
_atom_site_label
_atom_site_fract_x
_atom_site_fract_y
_atom_site_fract_z
_atom_site_occupancy
Tc1 0.0000 0.0000 0.0000 1
Te1 0.5000 0.5000 0.5000 1
H1 0.2500 0.2500 0.2500 1
H2 0.7500 0.7500 0.7500 1
```


*ii*
Compound: TcTeH2
Source: the Alexandria database
Functional: GGA-PBE
Structure: optimized geometry

Summary:
- M_tot: 0.5 μB per formula unit

Cell and atoms, written as CIF:
```
data_TcTeH2
_cell_length_a 6.2480
_cell_length_b 6.2480
_cell_length_c 6.2480
_cell_angle_alpha 140.37
_cell_angle_beta 140.37
_cell_angle_gamma 57.29
_space_group_name_H-M_alt 'P 1'
_space_group_IT_number 1
loop_
_space_group_symop_operation_xyz
'x,y,z'
loop_
_atom_site_label
_atom_site_fract_x
_atom_site_fract_y
_atom_site_fract_z
_atom_site_occupancy
Tc1 0.3750 0.6250 0.7500 1
Tc2 0.6250 0.3750 0.2500 1
Te1 0.1250 0.8750 0.2500 1
Te2 0.8750 0.1250 0.7500 1
H1 0.0000 0.5000 0.5000 1
H2 0.5000 0.0000 0.0000 1
H3 0.5000 0.5000 0.0000 1
H4 0.5000 0.5000 0.5000 1
```


Stability, lowest: *i*


*i*
Compound: TiTcH2
Source: the Alexandria database
Functional: GGA-PBE
Structure: optimized geometry

Summary:
- M_tot: 0.0 μB per formula unit

Cell and atoms, written as CIF:
```
data_TiTcH2
_cell_length_a 4.9886
_cell_length_b 4.9886
_cell_length_c 4.9886
_cell_angle_alpha 34.56
_cell_angle_beta 34.56
_cell_angle_gamma 34.56
_space_group_name_H-M_alt 'P 1'
_space_group_IT_number 1
loop_
_space_group_symop_operation_xyz
'x,y,z'
loop_
_atom_site_label
_atom_site_fract_x
_atom_site_fract_y
_atom_site_fract_z
_atom_site_occupancy
Ti1 0.0000 0.0000 0.0000 1
Tc1 0.8206 0.8206 0.8206 1
H1 0.4233 0.4233 0.4233 1
H2 0.5852 0.5852 0.5852 1
```


*ii*
Compound: TiTcH2
Source: the Alexandria database
Functional: GGA-PBE
Structure: optimized geometry

Summary:
- M_tot: 0.0 μB per formula unit

Cell and atoms, written as CIF:
```
data_TiTcH2
_cell_length_a 5.4120
_cell_length_b 5.4120
_cell_length_c 5.4120
_cell_angle_alpha 136.51
_cell_angle_beta 136.51
_cell_angle_gamma 63.19
_space_group_name_H-M_alt 'P 1'
_space_group_IT_number 1
loop_
_space_group_symop_operation_xyz
'x,y,z'
loop_
_atom_site_label
_atom_site_fract_x
_atom_site_fract_y
_atom_site_fract_z
_atom_site_occupancy
Ti1 0.0000 0.0000 0.0000 1
Ti2 0.7500 0.2500 0.5000 1
Tc1 0.2500 0.7500 0.5000 1
Tc2 0.5000 0.5000 0.0000 1
H1 0.1407 0.6250 0.0157 1
H2 0.3750 0.3907 0.5157 1
H3 0.6093 0.1250 0.9843 1
H4 0.8750 0.8593 0.4843 1
```


Stability, lowest: *i*